# 1
8
Lattice="3.676 0.000 0.000 0.000 3.676 0.000 0.000 0.000 14.834" Properties=species:S:1:pos:R:3 comment="Nd3DyAu4, optimized geometry, DFT GGA-PBE" rho_g_cm3=11.5 spacegroup="P4/mmm, No. 123" e_tot_ev_per_atom=-4.79 delta_e_f_ev_per_atom=-0.789 vol_a3_per_atom=25.06 pbc="T T T"
Nd 0.000 0.000 0.000
Nd 0.000 0.000 3.760
Nd 0.000 0.000 11.074
Dy 0.000 0.000 7.417
Au 1.838 1.838 1.866
Au 1.838 1.838 5.732
Au 1.838 1.838 9.102
Au 1.838 1.838 12.968



# 2
4
Lattice="1.365 0.788 8.980 -1.365 0.788 8.980 0.000 -1.576 8.980" Properties=species:S:1:pos:R:3 comment="Cu2MoW, optimized geometry, DFT GGA-PBE" rho_g_cm3=11.7 spacegroup="R3m, No. 160" e_tot_ev_per_atom=-7.67 delta_e_f_ev_per_atom=0.327 vol_a3_per_atom=14.48 pbc="T T T"
Cu 0.000 0.000 0.000
Cu 0.000 0.000 6.940
Mo 0.000 0.000 13.674
W 0.000 0.000 20.202